Run i
VASP calculation (GGA-PBE) on a relaxed PmTiBi2 crystal.

Output
Symmetry: P4/mmm, No. 123

a b c (Å): 3.9844 5.2302 5.2302
angles (deg): 90.00 90.00 90.00
Closest atoms and distances in Å follow each position.
Element x y z (fractional)
Ti 0.5000 0.0000 0.0000  8 Bi 3.29
Bi 0.0000 0.5000 0.0000  4 Pm 3.29, 4 Ti 3.29
Bi 0.0000 0.0000 0.5000  4 Pm 3.29, 4 Ti 3.29
Pm 0.5000 0.5000 0.5000  8 Bi 3.29



Run ii
VASP calculation (GGA-PBE) on a relaxed PmTiBi2 crystal.

Output
Symmetry: R-3m, No. 166

a b c (Å): 3.4431 3.4431 11.4928
angles (deg): 81.39 81.39 60.00
Closest atoms and distances in Å follow each position.
Element x y z (fractional)
Ti 0.0000 0.0000 0.0000  2 Bi 2.88
Bi 0.9152 0.9152 0.2544  1 Ti 2.88
Bi 0.0848 0.0848 0.7456  1 Ti 2.88
Pm 0.5000 0.5000 0.5000  6 Bi 3.42, 6 Pm 3.44



The winner here is run i, beating the second structure by 37.5 kJ/mol of atoms.



Run i
VASP calculation (GGA-PBE) on a relaxed PmTiBi2 crystal.

Output
Symmetry: Fm-3m, No. 225

a b c (Å): 5.3492 5.3492 5.3492
angles (deg): 60.00 60.00 60.00
Closest atoms and distances in Å follow each position.
Element x y z (fractional)
Bi 0.2500 0.2500 0.2500  4 Pm 3.28, 4 Ti 3.28
Bi 0.7500 0.7500 0.7500  4 Ti 3.28, 4 Pm 3.28
Pm 0.5000 0.5000 0.5000  8 Bi 3.28
Ti 0.0000 0.0000 0.0000  8 Bi 3.28



Run ii
VASP calculation (GGA-PBE) on a relaxed PmTiBi2 crystal.

Output
Symmetry: P4/mmm, No. 123

a b c (Å): 3.6291 3.6291 8.0209
angles (deg): 90.00 90.00 90.00
Closest atoms and distances in Å follow each position.
Element x y z (fractional)
Ti 0.5000 0.5000 0.0000  8 Bi 3.10
Bi 0.0000 0.0000 0.7834  4 Ti 3.10, 4 Pm 3.43
Bi 0.0000 0.0000 0.2166  4 Ti 3.10, 4 Pm 3.43
Pm 0.5000 0.5000 0.5000  8 Bi 3.43, 4 Pm 3.63



The winner here is run ii, beating the second structure by 2.0 kJ/mol of atoms.



Run i
VASP calculation (GGA-PBE) on a relaxed Pm2TmBi crystal.

Output
Symmetry: P4/mmm, No. 123

a b c (Å): 4.2860 4.2860 6.8124
angles (deg): 90.00 90.00 90.00
Closest atoms and distances in Å follow each position.
Element x y z (fractional)
Bi 0.5000 0.5000 0.0000  2 Tm 3.41, 8 Pm 3.44
Pm 0.0000 0.0000 0.7604  2 Pm 3.26-3.55, 4 Bi 3.44, 4 Tm 3.51
Pm 0.0000 0.0000 0.2396  2 Pm 3.26-3.55, 4 Bi 3.44, 4 Tm 3.51
Tm 0.5000 0.5000 0.5000  2 Bi 3.41, 8 Pm 3.51



Run ii
VASP calculation (GGA-PBE) on a relaxed Pm2TmBi crystal.

Output
Symmetry: Fm-3m, No. 225

a b c (Å): 5.5586 5.5586 5.5586
angles (deg): 60.00 60.00 60.00
Closest atoms and distances in Å follow each position.
Element x y z (fractional)
Tm 0.0000 0.0000 0.0000  8 Pm 3.40
Pm 0.7500 0.7500 0.7500  4 Bi 3.40, 4 Tm 3.40
Pm 0.2500 0.2500 0.2500  4 Bi 3.40, 4 Tm 3.40
Bi 0.5000 0.5000 0.5000  8 Pm 3.40



Run iii
VASP calculation (GGA-PBE) on a relaxed Pm2TmBi crystal.

Output
Symmetry: R3m, No. 160

a b c (Å): 4.1284 4.1284 9.8298
angles (deg): 77.88 77.88 60.00
Closest atoms and distances in Å follow each position.
Element x y z (fractional)
Tm 0.5000 0.5000 0.5001  6 Pm 3.61-3.62
Pm 0.2617 0.2617 0.2148  3 Bi 3.14
Pm 0.0718 0.0718 0.7847  3 Bi 3.15
Bi 0.6665 0.6665 0.0004  6 Pm 3.14-3.15



Run iv
VASP calculation (GGA-PBE) on a relaxed Pm2TmBi crystal.

Output
Symmetry: R-3m, No. 166

a b c (Å): 3.5604 3.5604 12.4340
angles (deg): 81.77 81.77 60.00
Closest atoms and distances in Å follow each position.
Element x y z (fractional)
Tm 0.5000 0.5000 0.5000  6 Pm 3.55, 6 Tm 3.56
Bi 0.0000 0.0000 0.0000  2 Pm 3.24, 6 Bi 3.56
Pm 0.0880 0.0880 0.7360  1 Bi 3.24, 3 Tm 3.55, 6 Pm 3.56
Pm 0.9120 0.9120 0.2640  1 Bi 3.24, 3 Tm 3.55, 6 Pm 3.56



The winner here is run i, beating the second structure by 17.8 kJ/mol of atoms.



Run i
VASP calculation (GGA-PBE) on a relaxed PmTmBi crystal.

Output
Symmetry: P3m1, No. 156

a b c (Å): 4.0474 5.2098 5.2098
angles (deg): 120.00 90.00 90.00
Closest atoms and distances in Å follow each position.
Element x y z (fractional)
Bi 0.4069 0.6667 0.3333  3 Tm 3.07, 3 Pm 3.37
Tm 0.5613 0.3333 0.6667  3 Bi 3.07
Pm 0.0318 0.0000 0.0000  3 Bi 3.37, 6 Tm 3.56-3.69



Run ii
VASP calculation (GGA-PBE) on a relaxed PmTmBi crystal.

Output
Symmetry: I4/mmm, No. 139

a b c (Å): 4.5830 4.5830 9.2752
angles (deg): 104.30 104.30 90.00
Closest atoms and distances in Å follow each position.
Element x y z (fractional)
Tm 0.0000 0.5000 0.0000  4 Tm 3.24, 4 Bi 3.27
Tm 0.5000 0.0000 0.0000  4 Tm 3.24, 4 Bi 3.27
Bi 0.6343 0.6343 0.2685  4 Tm 3.27, 5 Pm 3.29-3.32
Bi 0.3657 0.3657 0.7315  4 Tm 3.27, 5 Pm 3.29-3.32
Pm 0.1763 0.1763 0.3527  5 Bi 3.29-3.32
Pm 0.8237 0.8237 0.6473  5 Bi 3.29-3.32



Run iii
VASP calculation (GGA-PBE) on a relaxed PmTmBi crystal.

Output
Symmetry: I4mm, No. 107

a b c (Å): 4.0698 4.0698 6.1870
angles (deg): 109.20 109.20 90.00
Closest atoms and distances in Å follow each position.
Element x y z (fractional)
Bi 0.6102 0.6102 0.2204  4 Tm 3.29, 5 Pm 3.40-3.66
Tm 0.9641 0.9641 0.9283  4 Bi 3.29, 5 Pm 3.41-3.54
Pm 0.2756 0.2756 0.5513  5 Bi 3.40-3.66, 5 Tm 3.41-3.54



Run iv
VASP calculation (GGA-PBE) on a relaxed PmTmBi crystal.

Output
Symmetry: C2/m, No. 12

a b c (Å): 4.2299 6.4739 8.4811
angles (deg): 117.97 90.00 109.07
Closest atoms and distances in Å follow each position.
Element x y z (fractional)
Tm 0.1498 0.2996 0.5540  3 Bi 3.12-3.18, 1 Tm 3.31
Tm 0.8502 0.7004 0.4460  3 Bi 3.12-3.18, 1 Tm 3.31
Bi 0.8416 0.6832 0.8152  3 Tm 3.12-3.18, 5 Pm 3.35-3.43
Bi 0.1584 0.3168 0.1848  3 Tm 3.12-3.18, 5 Pm 3.35-3.43
Pm 0.5691 0.1382 0.8363  5 Bi 3.35-3.43, 4 Tm 3.68-3.72
Pm 0.4309 0.8618 0.1637  5 Bi 3.35-3.43, 4 Tm 3.68-3.72



The winner here is run ii, beating the second structure by 9.2 kJ/mol of atoms.



Run i
VASP calculation (GGA-PBE) on a relaxed PmTm2Bi crystal.

Output
Symmetry: P4/mmm, No. 123

a b c (Å): 4.8623 4.8780 4.8780
angles (deg): 90.00 90.00 90.00
Closest atoms and distances in Å follow each position.
Element x y z (fractional)
Bi 0.5000 0.0000 0.0000  8 Tm 3.44, 4 Pm 3.45
Tm 0.0000 0.5000 0.0000  4 Bi 3.44, 4 Pm 3.44, 4 Tm 3.45
Tm 0.0000 0.0000 0.5000  4 Bi 3.44, 4 Pm 3.44, 4 Tm 3.45
Pm 0.5000 0.5000 0.5000  8 Tm 3.44, 4 Bi 3.45



Run ii
VASP calculation (GGA-PBE) on a relaxed PmTm2Bi crystal.

Output
Symmetry: Cmcm, No. 63

a b c (Å): 4.6377 4.6324 11.6553
angles (deg): 90.00 101.49 90.00
Closest atoms and distances in Å follow each position.
Element x y z (fractional)
Bi 0.8368 0.7500 0.6742  5 Pm 3.29-3.35, 4 Tm 3.33-3.36
Bi 0.1632 0.2500 0.3258  5 Pm 3.29-3.35, 4 Tm 3.33-3.36
Pm 0.6934 0.7500 0.3863  5 Bi 3.29-3.35
Pm 0.3066 0.2500 0.6137  5 Bi 3.29-3.35
Tm 0.4436 0.7500 0.8872  8 Tm 3.28-3.50, 2 Bi 3.36
Tm 0.9419 0.2500 0.8837  8 Tm 3.28-3.52, 2 Bi 3.33
Tm 0.0581 0.7500 0.1163  8 Tm 3.28-3.52, 2 Bi 3.33
Tm 0.5564 0.2500 0.1128  8 Tm 3.28-3.50, 2 Bi 3.36



Run iii
VASP calculation (GGA-PBE) on a relaxed PmTm2Bi crystal.

Output
Symmetry: R3m, No. 160

a b c (Å): 3.6535 3.6535 10.9767
angles (deg): 80.42 80.42 60.00
Closest atoms and distances in Å follow each position.
Element x y z (fractional)
Tm 0.0785 0.0785 0.7646  3 Bi 3.30, 3 Pm 3.54, 6 Tm 3.65
Tm 0.2551 0.2551 0.2348  3 Bi 3.29, 3 Pm 3.56, 6 Tm 3.65
Bi 0.6667 0.6667 0.0000  6 Tm 3.29-3.30, 6 Bi 3.65
Pm 0.4998 0.4998 0.5005  6 Tm 3.54-3.56, 6 Pm 3.65



The winner here is run ii, beating the second structure by 12.4 kJ/mol of atoms.



Run i
VASP calculation (GGA-PBE) on a relaxed PmTm2Bi crystal.

Output
Symmetry: P4/mmm, No. 123

a b c (Å): 4.0097 4.0097 7.4603
angles (deg): 90.00 90.00 90.00
Closest atoms and distances in Å follow each position.
Element x y z (fractional)
Pm 0.5000 0.5000 0.0000  8 Tm 3.50, 2 Bi 3.73
Bi 0.5000 0.5000 0.5000  8 Tm 3.30
Tm 0.0000 0.0000 0.7260  4 Bi 3.30, 1 Tm 3.37, 4 Pm 3.50
Tm 0.0000 0.0000 0.2740  4 Bi 3.30, 1 Tm 3.37, 4 Pm 3.50



Run ii
VASP calculation (GGA-PBE) on a relaxed PmTm2Bi crystal.

Output
Symmetry: Fm-3m, No. 225

a b c (Å): 5.4783 5.4783 5.4775
angles (deg): 60.00 60.00 60.00
Closest atoms and distances in Å follow each position.
Element x y z (fractional)
Tm 0.2499 0.2499 0.2502  4 Pm 3.35, 4 Bi 3.35
Tm 0.7501 0.7501 0.7498  4 Pm 3.35, 4 Bi 3.35
Bi 0.5000 0.5000 0.5000  8 Tm 3.35
Pm 0.0000 0.0000 0.0000  8 Tm 3.35



The winner here is run i, beating the second structure by 20.3 kJ/mol of atoms.



Run i
VASP calculation (GGA-PBE) on a relaxed PmTm3Bi2 crystal.

Output
Symmetry: C2/m, No. 12

a b c (Å): 4.3283 10.7910 9.8922
angles (deg): 125.13 90.00 101.57
Closest atoms and distances in Å follow each position.
Element x y z (fractional)
Tm 0.3112 0.6223 0.5114  3 Bi 3.15-3.26, 4 Tm 3.28-3.34
Tm 0.6888 0.3777 0.4886  3 Bi 3.15-3.26, 4 Tm 3.28-3.34
Tm 0.6364 0.2728 0.7942  4 Bi 3.24-3.35, 2 Tm 3.56
Tm 0.3636 0.7272 0.2058  4 Bi 3.24-3.35, 2 Tm 3.56
Tm 0.0573 0.1147 0.4445  3 Bi 3.08-3.42, 3 Tm 3.20-3.34
Tm 0.9427 0.8853 0.5555  3 Bi 3.08-3.42, 3 Tm 3.20-3.34
Bi 0.2483 0.4965 0.7874  6 Tm 3.24-3.42, 2 Pm 3.30
Bi 0.7517 0.5035 0.2126  6 Tm 3.24-3.42, 2 Pm 3.30
Bi 0.4882 0.9765 0.8197  4 Tm 3.08-3.29, 4 Pm 3.29-3.39, 1 Bi 3.30
Bi 0.5118 0.0235 0.1803  4 Tm 3.08-3.29, 4 Pm 3.29-3.39, 1 Bi 3.30
Pm 0.8884 0.7769 0.8943  6 Bi 3.29-3.39
Pm 0.1116 0.2231 0.1057  6 Bi 3.29-3.39



Run ii
VASP calculation (GGA-PBE) on a relaxed PmTm3Bi2 crystal.

Output
Symmetry: P-4m2, No. 115

a b c (Å): 4.5650 4.5650 8.5519
angles (deg): 90.00 90.00 90.00
Closest atoms and distances in Å follow each position.
Element x y z (fractional)
Bi 0.5000 0.0000 0.7087  7 Tm 3.15-3.38, 2 Pm 3.38
Bi 0.0000 0.5000 0.2913  7 Tm 3.15-3.38, 2 Pm 3.38
Tm 0.5000 0.0000 0.3409  5 Bi 3.15-3.26
Tm 0.0000 0.0000 0.0000  4 Pm 3.23, 4 Bi 3.38
Tm 0.0000 0.5000 0.6591  5 Bi 3.15-3.26
Pm 0.5000 0.5000 0.0000  4 Tm 3.23, 4 Bi 3.38



The winner here is run ii, beating the second structure by 6.9 kJ/mol of atoms.



Run i
VASP calculation (GGA-PBE) on a relaxed Pm3TmBi2 crystal.

Output
Symmetry: Ibam, No. 72

a b c (Å): 7.1522 8.0448 9.1391
angles (deg): 116.11 113.04 90.00
Closest atoms and distances in Å follow each position.
Element x y z (fractional)
Tm 0.0000 0.5000 0.0000  2 Bi 3.22, 4 Pm 3.59
Tm 0.0000 0.0000 0.0000  2 Bi 3.22, 4 Pm 3.59
Pm 0.2013 0.4513 0.4026  4 Bi 3.21-3.24, 2 Tm 3.59
Pm 0.2013 0.9513 0.4026  4 Bi 3.21-3.24, 2 Tm 3.59
Pm 0.7987 0.5487 0.5974  4 Bi 3.21-3.24, 2 Tm 3.59
Pm 0.5000 0.7500 0.0000  4 Bi 3.20
Pm 0.7987 0.0487 0.5974  4 Bi 3.21-3.24, 2 Tm 3.59
Pm 0.5000 0.2500 0.0000  4 Bi 3.20
Bi 0.5207 0.3529 0.7057  6 Pm 3.20-3.24, 1 Tm 3.22
Bi 0.1850 0.8529 0.7057  6 Pm 3.20-3.24, 1 Tm 3.22
Bi 0.8150 0.1471 0.2943  6 Pm 3.20-3.24, 1 Tm 3.22
Bi 0.4793 0.6471 0.2943  6 Pm 3.20-3.24, 1 Tm 3.22



Run ii
VASP calculation (GGA-PBE) on a relaxed Pm3TmBi2 crystal.

Output
Symmetry: P-4m2, No. 115

a b c (Å): 4.6119 4.6119 8.8691
angles (deg): 90.00 90.00 90.00
Closest atoms and distances in Å follow each position.
Element x y z (fractional)
Pm 0.0000 0.5000 0.6499  5 Bi 3.29-3.32
Pm 0.5000 0.0000 0.3501  5 Bi 3.29-3.32
Pm 0.0000 0.0000 0.0000  4 Tm 3.26, 4 Bi 3.38
Bi 0.0000 0.5000 0.2789  7 Pm 3.29-3.38, 2 Tm 3.38
Bi 0.5000 0.0000 0.7211  7 Pm 3.29-3.38, 2 Tm 3.38
Tm 0.5000 0.5000 0.0000  4 Pm 3.26, 4 Bi 3.38



The winner here is run ii, beating the second structure by 23.7 kJ/mol of atoms.



Run i
VASP calculation (GGA-PBE) on a relaxed Pm2VBi crystal.

Output
Symmetry: P4/mmm, No. 123

a b c (Å): 4.2445 5.1192 5.1192
angles (deg): 90.00 90.00 90.00
Closest atoms and distances in Å follow each position.
Element x y z (fractional)
Pm 0.0000 0.0000 0.5000  4 Bi 3.32, 4 V 3.32, 4 Pm 3.62
Pm 0.0000 0.5000 0.0000  4 Bi 3.32, 4 V 3.32, 4 Pm 3.62
Bi 0.5000 0.5000 0.5000  8 Pm 3.32, 4 V 3.62
V 0.5000 0.0000 0.0000  8 Pm 3.32, 4 Bi 3.62



Run ii
VASP calculation (GGA-PBE) on a relaxed Pm2VBi crystal.

Output
Symmetry: Fm-3m, No. 225

a b c (Å): 5.4126 5.4126 5.4126
angles (deg): 60.00 60.00 60.00
Closest atoms and distances in Å follow each position.
Element x y z (fractional)
V 0.5000 0.5000 0.5000  8 Pm 3.31
Bi 0.0000 0.0000 0.0000  8 Pm 3.31
Pm 0.7500 0.7500 0.7500  4 V 3.31, 4 Bi 3.31
Pm 0.2500 0.2500 0.2500  4 Bi 3.31, 4 V 3.31



The winner here is run i, beating the second structure by 8.2 kJ/mol of atoms.



Run i
VASP calculation (GGA-PBE) on a relaxed PmYBi crystal.

Output
Symmetry: P4/nmm, No. 129

a b c (Å): 4.6141 4.6141 8.8010
angles (deg): 90.00 90.00 90.00
Closest atoms and distances in Å follow each position.
Element x y z (fractional)
Bi 0.2499 0.7501 0.7241  5 Pm 3.30-3.33, 4 Y 3.35
Bi 0.7501 0.2499 0.2759  5 Pm 3.30-3.33, 4 Y 3.35
Y 0.7500 0.7500 0.0000  4 Y 3.26, 4 Bi 3.35
Y 0.2500 0.2500 0.0000  4 Y 3.26, 4 Bi 3.35
Pm 0.7499 0.2501 0.6506  5 Bi 3.30-3.33
Pm 0.2501 0.7499 0.3494  5 Bi 3.30-3.33



Run ii
VASP calculation (GGA-PBE) on a relaxed PmYBi crystal.

Output
Symmetry: P3m1, No. 156

a b c (Å): 4.0953 5.2337 5.2337
angles (deg): 120.00 90.00 90.00
Closest atoms and distances in Å follow each position.
Element x y z (fractional)
Y 0.7638 0.3333 0.6667  3 Bi 3.11
Bi 0.9456 0.0000 0.0000  3 Y 3.11, 3 Pm 3.34
Pm 0.2906 0.6667 0.3333  3 Bi 3.34, 6 Y 3.59-3.71



The winner here is run i, beating the second structure by 34.2 kJ/mol of atoms.



Run i
VASP calculation (GGA-PBE) on a relaxed PmYBi crystal.

Output
Symmetry: I4mm, No. 107

a b c (Å): 3.4065 3.4065 9.4251
angles (deg): 100.41 100.41 90.00
Closest atoms and distances in Å follow each position.
Element x y z (fractional)
Pm 0.7617 0.7617 0.5233  4 Bi 3.39, 4 Pm 3.41, 1 Y 3.57
Bi 0.1309 0.1309 0.2619  1 Y 3.16, 4 Pm 3.39, 4 Bi 3.41
Y 0.9574 0.9574 0.9148  1 Bi 3.16, 4 Y 3.41



Run ii
VASP calculation (GGA-PBE) on a relaxed PmYBi crystal.

Output
Symmetry: C2/m, No. 12

a b c (Å): 5.6025 5.5973 8.3458
angles (deg): 109.66 90.00 120.03
Closest atoms and distances in Å follow each position.
Element x y z (fractional)
Bi 0.2189 0.4378 0.1562  1 Pm 3.08, 4 Y 3.23-3.34
Bi 0.7811 0.5622 0.8438  1 Pm 3.08, 4 Y 3.23-3.34
Pm 0.6479 0.2959 0.4431  1 Bi 3.08, 3 Pm 3.35
Pm 0.3521 0.7041 0.5569  1 Bi 3.08, 3 Pm 3.35
Y 0.9214 0.8429 0.2639  4 Bi 3.23-3.34, 3 Pm 3.51
Y 0.0786 0.1571 0.7361  4 Bi 3.23-3.34, 3 Pm 3.51



Run iii
VASP calculation (GGA-PBE) on a relaxed PmYBi crystal.

Output
Symmetry: P4/nmm, No. 129

a b c (Å): 4.5908 4.5908 8.7999
angles (deg): 90.00 90.00 90.00
Closest atoms and distances in Å follow each position.
Element x y z (fractional)
Y 0.5000 0.0000 0.3513  5 Bi 3.18-3.29
Y 0.0000 0.5000 0.6487  5 Bi 3.18-3.29
Bi 0.0000 0.5000 0.2874  5 Y 3.18-3.29, 4 Pm 3.42
Bi 0.5000 0.0000 0.7126  5 Y 3.18-3.29, 4 Pm 3.42
Pm 0.0000 0.0000 0.0000  4 Pm 3.25, 4 Bi 3.42
Pm 0.5000 0.5000 0.0000  4 Pm 3.25, 4 Bi 3.42



The winner here is run iii, beating the second structure by 28.1 kJ/mol of atoms.